# 1
First-principles (SCAN) data for a PBEsol-optimized structure of LiCdIn2Au, as listed in Alexandria.

Geometry as POSCAR:
```
LiCdIn2Au
1.0
-0.8153 -5.0768 -0.7524
5.2850 -0.9056 0.3835
-0.5058 -0.7051 5.3053
Cd Au Li In
1 1 1 2
direct
0.0000 0.0000 0.0000
0.5000 0.0000 0.0000
0.5000 0.5000 0.5000
0.0000 0.0000 0.5000
0.0000 0.5000 0.0000
```

Summary:
formation energy from the elements	0.32	eV/atom

# 2
First-principles (SCAN) data for a PBEsol-optimized structure of SiMoCl2, as listed in Alexandria.

Geometry as POSCAR:
```
SiMoCl2
1.0
-0.5282 -2.5245 -3.1682
-0.0895 -3.1869 2.5544
-4.0766 0.4023 0.3591
Cl Mo Si
2 1 1
direct
0.0000 0.5000 0.0000
0.5000 0.0000 0.0000
0.5000 0.5000 0.5000
0.0000 0.0000 0.5000
```

Summary:
uncorrected formation energy	778.1	meV/atom

# 3
First-principles (SCAN) data for a PBEsol-optimized structure of H3PdF, as listed in Alexandria.

Geometry as POSCAR:
```
H3PdF
1.0
-1.7409 -2.5968 1.2131
2.0069 -2.1178 -1.6532
2.0463 -0.1322 2.6535
H Pd F
3 1 1
direct
0.0000 0.5000 0.0000
0.0000 0.0000 0.5000
0.5000 0.0000 0.0000
0.0000 0.0000 0.0000
0.5000 0.5000 0.5000
```

Summary:
DFT total energy	-9.25	eV/atom

# 4
First-principles (SCAN) data for a PBEsol-optimized structure of Sc5Ir3, as listed in Alexandria.

Geometry as POSCAR:
```
Sc5Ir3
1.0
5.5977 0.0000 0.0000
0.0000 7.8144 0.0000
0.0000 -3.9072 6.7675
Ir Sc
6 10
direct
0.2500 0.0000 0.3919
0.7500 0.0000 0.6081
0.2500 0.6081 0.6081
0.7500 0.6081 0.0000
0.7500 0.3919 0.3919
0.2500 0.3919 0.0000
0.7500 0.0000 0.2587
0.2500 0.0000 0.7413
0.7500 0.7413 0.7413
0.2500 0.7413 0.0000
0.0000 0.6667 0.3333
0.5000 0.6667 0.3333
0.0000 0.3333 0.6667
0.5000 0.3333 0.6667
0.2500 0.2587 0.2587
0.7500 0.2587 0.0000
```

Summary:
formation energy from the elements	-1.00	eV/atom

# 5
First-principles (SCAN) data for a PBEsol-optimized structure of Mn3Nb2ZnO9, as listed in Alexandria.

Geometry as POSCAR:
```
Mn3Nb2ZnO9
1.0
5.2515 0.0000 0.0000
-2.6257 4.5479 0.0000
0.0000 0.0000 14.2116
Nb Mn Zn O
4 6 2 18
direct
0.0000 0.0000 0.1417
0.0000 0.0000 0.8599
0.0000 0.0000 0.3599
0.0000 0.0000 0.6417
0.3333 0.6667 0.3032
0.3333 0.6667 0.0193
0.3333 0.6667 0.5193
0.6667 0.3333 0.4858
0.6667 0.3333 0.9858
0.3333 0.6667 0.8032
0.6667 0.3333 0.2022
0.6667 0.3333 0.7022
0.6562 0.9743 0.9171
0.3448 0.0257 0.0846
0.9944 0.2829 0.7505
0.7171 0.7114 0.7505
0.0257 0.6818 0.9171
0.3182 0.9743 0.4171
0.2886 0.2829 0.2505
0.9743 0.3191 0.0846
0.9743 0.6552 0.5846
0.6562 0.6818 0.4171
0.7171 0.0056 0.2505
0.0257 0.3438 0.4171
0.2886 0.0056 0.7505
0.6809 0.6552 0.0846
0.3182 0.3438 0.9171
0.3448 0.3191 0.5846
0.6809 0.0257 0.5846
0.9944 0.7114 0.2505
```

Summary:
uncorrected formation energy	-2331.1	meV/atom

# 6
First-principles (SCAN) data for a PBEsol-optimized structure of SiAs2Os, as listed in Alexandria.

Geometry as POSCAR:
```
SiAs2Os
1.0
-2.2962 -0.3865 1.7710
-2.3908 -1.7324 -3.4779
1.5083 -4.1771 1.0438
As Os Si
2 1 1
direct
0.0000 0.0000 0.5000
0.0000 0.5000 0.0000
0.5000 0.5000 0.5000
0.5000 0.0000 0.0000
```

Summary:
uncorrected formation energy	703.0	meV/atom

# 7
First-principles (SCAN) data for a PBEsol-optimized structure of Na2LaSn2, as listed in Alexandria.

Geometry as POSCAR:
```
Na2LaSn2
1.0
4.4934 0.0000 0.0000
0.0000 4.4934 0.0000
-2.2467 -2.2467 7.1442
Na Sn La
2 2 1
direct
0.2500 0.7500 0.5000
0.7500 0.2500 0.5000
0.4033 0.4033 0.8066
0.5967 0.5967 0.1934
0.0000 0.0000 0.0000
```

Summary:
formation energy from the elements	-0.47	eV/atom

# 8
First-principles (SCAN) data for a PBEsol-optimized structure of NiIr2Se, as listed in Alexandria.

Geometry as POSCAR:
```
NiIr2Se
1.0
-2.7995 -0.2461 0.4708
-0.4929 -1.9146 -3.9318
0.6559 -3.9443 1.8384
Ir Ni Se
2 1 1
direct
0.0000 0.0000 0.5000
0.0000 0.5000 0.0000
0.5000 0.5000 0.5000
0.5000 0.0000 0.0000
```

Summary:
uncorrected formation energy	548.1	meV/atom

# 9
First-principles (SCAN) data for a PBEsol-optimized structure of Mn3ZnPb, as listed in Alexandria.

Geometry as POSCAR:
```
Mn3ZnPb
1.0
4.5694 0.0000 0.0000
0.0000 4.5694 0.0000
0.0000 0.0000 4.5694
Pb Zn Mn
1 1 3
direct
0.5000 0.5000 0.5000
0.0000 0.0000 0.0000
0.0000 0.5000 0.0000
0.0000 0.0000 0.5000
0.5000 0.0000 0.0000
```

Summary:
formation energy from the elements	0.34	eV/atom

# 10
First-principles (SCAN) data for a PBEsol-optimized structure of LiSb2Cl, as listed in Alexandria.

Geometry as POSCAR:
```
LiSb2Cl
1.0
-1.6200 3.1911 1.8228
-2.2994 -0.5027 3.2542
5.4237 1.5520 6.5789
Sb Cl Li
2 1 1
direct
0.9905 0.9905 0.0274
0.2569 0.2569 0.2262
0.4594 0.4594 0.6236
0.7932 0.7932 0.6228
```

Summary:
uncorrected formation energy	-873.2	meV/atom

# 11
First-principles (SCAN) data for a PBEsol-optimized structure of HoMgTl, as listed in Alexandria.

Geometry as POSCAR:
```
HoMgTl
1.0
-1.9464 3.6428 -1.9988
-4.8310 -4.4675 -3.4376
-1.6334 2.7933 6.6815
Mg Tl Ho
3 3 3
direct
0.5000 0.7567 0.0000
0.5000 0.2433 0.2433
0.5000 0.0000 0.7567
0.5000 0.6667 0.3333
0.0000 0.0000 0.0000
0.5000 0.3333 0.6667
0.0000 0.5687 0.5687
0.0000 0.0000 0.4313
0.0000 0.4313 0.0000
```

Summary:
formation energy from the elements	-0.53	eV/atom

# 12
First-principles (SCAN) data for a PBEsol-optimized structure of Sc3HgO, as listed in Alexandria.

Geometry as POSCAR:
```
Sc3HgO
1.0
-3.4972 1.6780 2.0053
-0.1579 -3.4783 2.6351
2.6100 2.0379 2.8464
Sc Hg O
3 1 1
direct
0.0000 0.5000 0.0000
0.0000 0.0000 0.5000
0.5000 0.0000 0.0000
0.5000 0.5000 0.5000
0.0000 0.0000 0.0000
```

Summary:
uncorrected formation energy	-1749.4	meV/atom

Please write out number 7 again, unchanged.
First-principles (SCAN) data for a PBEsol-optimized structure of Na2LaSn2, as listed in Alexandria.

Geometry as POSCAR:
```
Na2LaSn2
1.0
4.4934 0.0000 0.0000
0.0000 4.4934 0.0000
-2.2467 -2.2467 7.1442
Na Sn La
2 2 1
direct
0.2500 0.7500 0.5000
0.7500 0.2500 0.5000
0.4033 0.4033 0.8066
0.5967 0.5967 0.1934
0.0000 0.0000 0.0000
```

Summary:
formation energy from the elements	-0.47	eV/atom